Here is a geometry-optimized PuAl4Ni2 structure from Alexandria via LeMat-Bulk. Energies are from PBE.

```
PuAl4Ni2
1.0
4.126 0.000 0.000
0.000 6.469 0.000
0.000 0.000 16.770
Al Ni Pu
16 8 4
direct
0.750 0.735 0.304 Al
0.250 0.506 0.425 Al
0.750 0.677 0.966 Al
0.250 0.265 0.696 Al
0.750 0.006 0.075 Al
0.250 0.177 0.534 Al
0.250 0.994 0.925 Al
0.250 0.323 0.034 Al
0.750 0.494 0.575 Al
0.250 0.834 0.188 Al
0.250 0.235 0.196 Al
0.750 0.765 0.804 Al
0.250 0.666 0.688 Al
0.750 0.823 0.466 Al
0.750 0.166 0.812 Al
0.750 0.334 0.312 Al
0.250 0.964 0.781 Ni
0.250 0.747 0.040 Ni
0.750 0.036 0.219 Ni
0.250 0.536 0.281 Ni
0.750 0.253 0.960 Ni
0.750 0.464 0.719 Ni
0.750 0.247 0.460 Ni
0.250 0.753 0.540 Ni
0.750 0.976 0.635 Pu
0.250 0.476 0.865 Pu
0.750 0.524 0.135 Pu
0.250 0.024 0.365 Pu
```

Output
Density, Mg/m³: 7.0
DFT formation energy, meV per atom: -452
Total magnetic moment, μB/cell: 20.3
Space group: No. 62